Entry 1:
# Na2SiAu3 (PBE-GGA, optimized geometry)
# Energy relative to the lowest polymorph listed for this composition in eV/atom: 0.1973
# Symmetry: Immm (71)
data_Na2SiAu3
_chemical_formula_sum 'Na2 Si1 Au3'
_cell_length_a 3.923
_cell_length_b 5.133
_cell_length_c 7.495
_cell_angle_alpha 110.03
_cell_angle_beta 105.17
_cell_angle_gamma 90.00
_symmetry_space_group_name_H-M 'P 1'
_symmetry_Int_Tables_number 1
loop_
_symmetry_equiv_pos_as_xyz
'x,y,z'
loop_
_atom_site_label
_atom_site_fract_x
_atom_site_fract_y
_atom_site_fract_z
_atom_site_occupancy
Na1 0.705 0.205 0.410 1
Na2 0.295 0.795 0.590 1
Si1 0.000 0.500 0.000 1
Au1 0.614 0.614 0.229 1
Au2 0.386 0.386 0.771 1
Au3 0.000 0.000 0.000 1

Entry 2:
# Y2AlIn (PBE-GGA, optimized geometry)
# Symmetry: R3m (160)
# Formation enthalpy at 0 K in eV per atom: -0.020
data_Y2AlIn
_chemical_formula_sum 'Y2 Al1 In1'
_cell_length_a 10.667
_cell_length_b 10.667
_cell_length_c 10.667
_cell_angle_alpha 18.62
_cell_angle_beta 18.62
_cell_angle_gamma 18.62
_symmetry_space_group_name_H-M 'P 1'
_symmetry_Int_Tables_number 1
loop_
_symmetry_equiv_pos_as_xyz
'x,y,z'
loop_
_atom_site_label
_atom_site_fract_x
_atom_site_fract_y
_atom_site_fract_z
_atom_site_occupancy
Y1 0.002 0.002 0.002 1
Y2 0.245 0.245 0.245 1
Al1 0.497 0.497 0.497 1
In1 0.756 0.756 0.756 1

Entry 3:
# NbS6Cl2 (PBE-GGA, optimized geometry)
# Symmetry: Immm (71)
data_NbS6Cl2
_chemical_formula_sum 'Nb1 S6 Cl2'
_cell_length_a 4.647
_cell_length_b 7.984
_cell_length_c 7.976
_cell_angle_alpha 66.17
_cell_angle_beta 73.08
_cell_angle_gamma 73.09
_symmetry_space_group_name_H-M 'P 1'
_symmetry_Int_Tables_number 1
loop_
_symmetry_equiv_pos_as_xyz
'x,y,z'
loop_
_atom_site_label
_atom_site_fract_x
_atom_site_fract_y
_atom_site_fract_z
_atom_site_occupancy
S1 0.077 0.286 0.559 1
S2 0.922 0.442 0.715 1
S3 0.500 0.121 0.879 1
S4 0.078 0.558 0.285 1
S5 0.923 0.714 0.441 1
S6 0.500 0.879 0.121 1
Cl1 0.189 0.811 0.810 1
Cl2 0.811 0.189 0.190 1
Nb1 0.000 0.000 0.000 1

For each record above, in turn, the calculated VASP energy values are -3.090; -4.872; -4.494 eV/atom.